No. 1
A plane-wave DFT calculation with GGA-PBE was carried out for a relaxed TaZn2Cl crystal.

The space group is P4/mmm (No. 123) and the conventional cell measures 2.982, 2.982 and 7.899 Å, with angles of 90.00, 90.00 and 90.00 degrees. The inequivalent atoms are Ta at (0.000, 0.000, 0.000), Zn at (0.500, 0.500, 0.241) and Cl at (0.000, 0.000, 0.500).

The relative energy among the computed polymorphs is 186 meV per atom. As for the total moment: 0.00 μB/f.u. As for the calculated density: 8.2 g/cm3. The value obtained for the energy relative to the elements, uncorrected is 0.18 eV per formula unit.

***

No. 2
A plane-wave DFT calculation with GGA-PBE was carried out for a relaxed TaZn2Cl crystal.

The space group is P4mm (No. 99) and the conventional cell measures 2.957, 2.957 and 8.686 Å, with angles of 90.00, 90.00 and 90.00 degrees. The inequivalent atoms are Ta at (0.000, 0.000, 0.000), Zn at (0.000, 0.000, 0.407), Zn at (0.500, 0.500, 0.217) and Cl at (0.500, 0.500, 0.810).

The relative energy among the computed polymorphs is 122 meV per atom. As for the total moment: 0.00 μB/f.u. As for the calculated density: 7.6 g/cm3. The value obtained for the energy relative to the elements, uncorrected is -0.07 eV per formula unit.

***

No. 3
A plane-wave DFT calculation with GGA-PBE was carried out for a relaxed TaZnCl2 crystal.

The space group is I-4m2 (No. 119) and the conventional cell measures 3.720, 3.720 and 10.471 Å, with angles of 90.00, 90.00 and 90.00 degrees. The inequivalent atoms are Ta at (0.000, 0.000, 0.000), Zn at (0.000, 0.500, 0.750), Cl at (0.000, 0.000, 0.500) and Cl at (0.000, 0.500, 0.250).

The relative energy among the computed polymorphs is 950 meV per atom. As for the total moment: 0.90 μB/f.u. As for the calculated density: 7.3 g/cm3. The value obtained for the energy relative to the elements, uncorrected is 2.04 eV per formula unit.

***

No. 4
A plane-wave DFT calculation with GGA-PBE was carried out for a relaxed TaZnCl2 crystal.

The space group is I-42d (No. 122) and the conventional cell measures 8.694, 8.694 and 5.489 Å, with angles of 90.00, 90.00 and 90.00 degrees. The inequivalent atoms are Ta at (0.000, 0.000, 0.000), Zn at (0.000, 0.000, 0.500) and Cl at (0.110, 0.250, 0.125).

The relative energy among the computed polymorphs is 384 meV per atom. As for the total moment: 2.09 μB/f.u. As for the calculated density: 5.1 g/cm3. The value obtained for the energy relative to the elements, uncorrected is -0.22 eV per formula unit.

***

No. 5
A plane-wave DFT calculation with GGA-PBE was carried out for a relaxed TaZnCl2 crystal.

The space group is F-43m (No. 216) and the conventional cell measures 6.789, 6.789 and 6.789 Å, with angles of 90.00, 90.00 and 90.00 degrees. The inequivalent atoms are Ta at (0.000, 0.000, 0.000), Zn at (0.250, 0.250, 0.250), Cl at (0.000, 0.000, 0.500) and Cl at (0.250, 0.250, 0.750).

The relative energy among the computed polymorphs is 1163 meV per atom. As for the total moment: 3.00 μB/f.u. As for the calculated density: 6.7 g/cm3. The value obtained for the energy relative to the elements, uncorrected is 2.89 eV per formula unit.

***

No. 6
A plane-wave DFT calculation with GGA-PBE was carried out for a relaxed TaZnCl2 crystal.

The space group is I4/mmm (No. 139) and the conventional cell measures 4.201, 4.201 and 7.779 Å, with angles of 90.00, 90.00 and 90.00 degrees. The inequivalent atoms are Ta at (0.000, 0.000, 0.000), Zn at (0.000, 0.000, 0.500) and Cl at (0.000, 0.500, 0.250).

The relative energy among the computed polymorphs is 836 meV per atom. As for the total moment: 0.00 μB/f.u. As for the calculated density: 7.7 g/cm3. The value obtained for the energy relative to the elements, uncorrected is 1.58 eV per formula unit.

***

No. 7
A plane-wave DFT calculation with GGA-PBE was carried out for a relaxed TaZn2Cl crystal.

The space group is F-43m (No. 216) and the conventional cell measures 6.419, 6.419 and 6.419 Å, with angles of 90.00, 90.00 and 90.00 degrees. The inequivalent atoms are Ta at (0.000, 0.000, 0.000), Zn at (0.000, 0.000, 0.500), Zn at (0.250, 0.250, 0.750) and Cl at (0.250, 0.250, 0.250).

The relative energy among the computed polymorphs is 688 meV per atom. As for the total moment: 0.00 μB/f.u. As for the calculated density: 8.7 g/cm3. The value obtained for the energy relative to the elements, uncorrected is 2.19 eV per formula unit.

***

No. 8
A plane-wave DFT calculation with GGA-PBE was carried out for a relaxed TaZn2Cl crystal.

The space group is C2/m (No. 12) and the conventional cell measures 11.292, 2.856 and 4.342 Å, with angles of 90.00, 99.73 and 90.00 degrees. The inequivalent atoms are Ta at (0.000, 0.000, 0.000), Zn at (0.223, 0.500, 0.229) and Cl at (0.000, 0.500, 0.500).

The relative energy among the computed polymorphs is 415 meV per atom. As for the total moment: 0.00 μB/f.u. As for the calculated density: 8.4 g/cm3. The value obtained for the energy relative to the elements, uncorrected is 1.10 eV per formula unit.